Record 1
# SrLa5 | Alexandria via LeMat-Bulk | GGA-PBEsol | optimized geometry
data_SrLa5
_cell_length_a 3.695
_cell_length_b 6.034
_cell_length_c 9.984
_cell_angle_alpha 90.00
_cell_angle_beta 100.66
_cell_angle_gamma 90.00
_symmetry_space_group_name_H-M 'P 1'
_symmetry_Int_Tables_number 1
loop_
_symmetry_equiv_pos_as_xyz
'x,y,z'
loop_
_atom_site_label
_atom_site_type_symbol
_atom_site_fract_x
_atom_site_fract_y
_atom_site_fract_z
Sr1 Sr 0.109 0.500 0.217
La1 La 0.996 0.000 0.991
La2 La 0.328 0.000 0.656
La3 La 0.679 0.000 0.359
La4 La 0.434 0.500 0.869
La5 La 0.788 0.500 0.575
# SG: No. 38

=====

Record 2
# Sr2LaTa | Alexandria via LeMat-Bulk | GGA-PBEsol | optimized geometry
data_Sr2LaTa
_cell_length_a 4.787
_cell_length_b 4.797
_cell_length_c 5.436
_cell_angle_alpha 90.00
_cell_angle_beta 90.00
_cell_angle_gamma 90.00
_symmetry_space_group_name_H-M 'P 1'
_symmetry_Int_Tables_number 1
loop_
_symmetry_equiv_pos_as_xyz
'x,y,z'
loop_
_atom_site_label
_atom_site_type_symbol
_atom_site_fract_x
_atom_site_fract_y
_atom_site_fract_z
La1 La 0.000 0.500 0.500
Sr1 Sr 0.000 0.000 0.000
Sr2 Sr 0.500 0.500 0.000
Ta1 Ta 0.500 0.000 0.500
# SG: No. 47

=====

Record 3
# SrLa2Ta | Alexandria via LeMat-Bulk | GGA-PBEsol | optimized geometry
data_SrLa2Ta
_cell_length_a 5.453
_cell_length_b 5.438
_cell_length_c 5.453
_cell_angle_alpha 59.90
_cell_angle_beta 90.00
_cell_angle_gamma 120.10
_symmetry_space_group_name_H-M 'P 1'
_symmetry_Int_Tables_number 1
loop_
_symmetry_equiv_pos_as_xyz
'x,y,z'
loop_
_atom_site_label
_atom_site_type_symbol
_atom_site_fract_x
_atom_site_fract_y
_atom_site_fract_z
La1 La 0.250 0.500 0.250
La2 La 0.750 0.500 0.750
Sr1 Sr 0.500 0.000 0.500
Ta1 Ta 0.000 0.000 0.000
# SG: No. 139
# Energy above the lowest structure with this stoichiometry (eV/f.u.): 0.15

=====

Record 4
# SrLaTa2 | Alexandria via LeMat-Bulk | GGA-PBEsol | optimized geometry
data_SrLaTa2
_cell_length_a 3.381
_cell_length_b 5.740
_cell_length_c 6.401
_cell_angle_alpha 116.63
_cell_angle_beta 105.31
_cell_angle_gamma 90.00
_symmetry_space_group_name_H-M 'P 1'
_symmetry_Int_Tables_number 1
loop_
_symmetry_equiv_pos_as_xyz
'x,y,z'
loop_
_atom_site_label
_atom_site_type_symbol
_atom_site_fract_x
_atom_site_fract_y
_atom_site_fract_z
La1 La 0.474 0.474 0.948
Sr1 Sr 0.269 0.769 0.538
Ta1 Ta 0.040 0.040 0.080
Ta2 Ta 0.717 0.217 0.434
# SG: No. 44

=====

no.,energy of formation from the pure elements (eV per atom),DFT total energy (eV/f.u.)
1,0.093,-28.0
2,0.866,-18.1
3,0.607,-22.7
4,0.749,-29.3